PuMn2InO8 | PBE with a Hubbard U | optimized geometry

Its volume is 13.0 Å³/atom. As for the electronic total energy: -7.563 eV/atom. For the total moment, the calculation gives 9.00 μB per formula unit.

The space group is I-4m2 (No. 119) and the conventional cell measures 6.732, 6.732 and 6.906 Å, with angles of 90.00, 90.00 and 90.00 degrees. Symmetry generates all atoms from Pu at (0.000, 0.000, 0.000), Mn at (0.000, 0.000, 0.500), Mn at (0.000, 0.500, 0.250), In at (0.000, 0.500, 0.750), O at (0.000, 0.182, 0.689) and O at (0.000, 0.296, 0.039).